Material: ZnIrW2
Method: DFT, PBE
State: relaxed

Lattice parameters (Å, degrees): 4.7597 4.7597 4.9185 82.28 82.28 33.65
Fractional coordinates of all 4 atoms:
Ir1 0.2544 0.2544 0.2552
Zn1 0.5032 0.5032 0.4989
W1 0.9929 0.9929 0.0053
W2 0.7495 0.7495 0.7406

The value obtained for the density of states at the Fermi level is 2.3 states/eV/cell. Its crystal system is monoclinic. The value obtained for the magnetic moment is 0.0000 μB per atom. The energy relative to the elements is 9.1 kJ/mol of atoms. Its space group is No. 8.